Entry 1:
Entry from the Alexandria database: crystalline CdBi2P2 at its relaxed geometry (GGA-PBE).

Unit cell a=7.895 b=7.895 c=3.936 alpha=90.00 beta=90.00 gamma=90.00
Element x y z (fractional)
P (0.167, 0.333, 0.000)
Bi (0.158, 0.658, 0.500)
P (0.667, 0.167, 0.000)
Bi (0.342, 0.158, 0.500)
Cd (0.000, 0.000, 0.000)
P (0.833, 0.667, 0.000)
P (0.333, 0.833, 0.000)
Cd (0.500, 0.500, 0.000)
Bi (0.842, 0.342, 0.500)
Bi (0.658, 0.842, 0.500)

Calculated values
**M_tot**: 0.00 μB per atom
**Raw total energy**: -3.611 eV/atom

***

Entry 2:
Entry from the Alexandria database: crystalline CdBi3P at its relaxed geometry (GGA-PBE).

Unit cell a=5.592 b=5.592 c=5.592 alpha=90.00 beta=90.00 gamma=90.00
Element x y z (fractional)
Cd (0.000, 0.000, 0.000)
Bi (0.000, 0.500, 0.000)
Bi (0.500, 0.000, 0.000)
P (0.500, 0.500, 0.500)
Bi (0.000, 0.000, 0.500)

Calculated values
**Relative energy among the computed polymorphs**: 575 meV per atom
**M_tot**: 0.00 μB per atom